! Re2AgHg | OQMD via LeMat-Bulk | PBE | relaxed; values from VASP
&SYSTEM
  ibrav = 0, nat = 4, ntyp = 3
/
ATOMIC_SPECIES
Re 186.21 Re.upf
Ag 107.87 Ag.upf
Hg 200.59 Hg.upf
CELL_PARAMETERS angstrom
0.000 3.227 3.227
3.227 0.000 3.227
3.227 3.227 0.000
ATOMIC_POSITIONS crystal
Re 0.000 0.000 0.000
Re 0.250 0.250 0.250
Ag 0.750 0.750 0.750
Hg 0.500 0.500 0.500
! - Space-group type: No. 216
! - ΔH_f (0 K): 933.9 meV per atom
! - Size of the total moment: 0.00 μB per cell
! - E: -6.06 eV per atom